NaTc2Se4 PBE optimized geometry; E = -75.7 eV per cell; SG = No. 227; M_tot = 10.00 μB/cell
1.0
0.0000 5.5186 5.5186
5.5186 0.0000 5.5186
5.5186 5.5186 0.0000
Na Tc Se
2 4 8
Cartesian
1.3796 1.3796 1.3796
9.6575 9.6575 9.6575
5.5186 2.7593 2.7593
2.7593 5.5186 2.7593
2.7593 2.7593 5.5186
5.5186 5.5186 5.5186
2.9403 2.9403 2.9403
5.3376 5.3376 2.9403
5.3376 2.9403 5.3376
8.0969 5.6996 5.6996
2.9403 5.3376 5.3376
5.6996 8.0969 5.6996
5.6996 5.6996 8.0969
8.0969 8.0969 8.0969